[1]
The following is a DFT calculation (PBE) of crystalline Pu3USe6 at its relaxed geometry.

The structure belongs to space group Cmc2_1 (No. 36); the cell edges are 11.1329, 13.9226 and 7.1837 Å and the angles 90.00°, 90.00° and 90.00°. The inequivalent atoms are Pu at (0.0000, 0.0945, 0.0000), Pu at (0.1892, 0.3962, 0.8989), U at (0.0000, 0.3346, 0.3879), Se at (0.0000, 0.2657, 0.7501), Se at (0.0000, 0.4934, 0.1319), Se at (0.1646, 0.0333, 0.7046) and Se at (0.1688, 0.2354, 0.1780).

Its uncorrected formation energy is -1.273 eV per atom. The final energy is -351.676 eV/cell.

[2]
The following is a DFT calculation (PBE) of crystalline Ti2NbN at its relaxed geometry.

The structure belongs to space group R3m (No. 160, hexagonal axes); the cell edges are 2.9631, 2.9631 and 22.2063 Å and the angles 90.00°, 90.00° and 120.00°. The inequivalent atoms are Ti at (0.0000, 0.0000, 0.0000), Ti at (0.0000, 0.0000, 0.2268), Nb at (0.0000, 0.0000, 0.4464) and N at (0.0000, 0.0000, 0.6142).

The value obtained for the energy above the lowest structure with this stoichiometry is 1.13 kcal/mol of atoms. Its uncorrected formation energy is -0.871 eV per atom. The final energy is -113.009 eV/cell.